Crystalline Cs6Au4Cl at its relaxed geometry, computed with PBE-GGA. Values from VASP.

Cell and atoms, written as Quantum ESPRESSO input:
```
&SYSTEM
  ibrav = 0, nat = 22, ntyp = 3
/
ATOMIC_SPECIES
Cs 132.91 Cs.upf
Au 196.97 Au.upf
Cl 35.45 Cl.upf
CELL_PARAMETERS angstrom
9.935 0.000 0.000
0.000 9.935 0.000
0.000 0.000 10.551
ATOMIC_POSITIONS crystal
Cs 0.000 0.000 0.198
Cs 0.000 0.000 0.802
Cs 0.114 0.326 0.500
Cs 0.174 0.386 0.000
Cs 0.326 0.886 0.500
Cs 0.386 0.826 0.000
Cs 0.500 0.500 0.302
Cs 0.500 0.500 0.698
Cs 0.614 0.174 0.000
Cs 0.674 0.114 0.500
Cs 0.826 0.614 0.000
Cs 0.886 0.674 0.500
Au 0.159 0.659 0.250
Au 0.159 0.659 0.750
Au 0.341 0.159 0.250
Au 0.341 0.159 0.750
Au 0.659 0.841 0.250
Au 0.659 0.841 0.750
Au 0.841 0.341 0.250
Au 0.841 0.341 0.750
Cl 0.000 0.000 0.500
Cl 0.500 0.500 0.000
```

Summary:
Size of the total moment: 0.00 μB per formula unit
Formation energy (no corrections): -0.562 eV/atom
Total DFT energy (no corrections): -52.5 eV for the cell shown

Crystalline La8GeRh3Br3 at its relaxed geometry, computed with PBE-GGA. Values from VASP.

Cell and atoms, written as Quantum ESPRESSO input:
```
&SYSTEM
  ibrav = 0, nat = 15, ntyp = 4
/
ATOMIC_SPECIES
La 138.91 La.upf
Ge 72.64 Ge.upf
Rh 102.91 Rh.upf
Br 79.90 Br.upf
CELL_PARAMETERS angstrom
7.423 -4.278 0.000
7.423 4.278 0.000
-4.944 0.000 7.452
ATOMIC_POSITIONS crystal
La 0.221 0.745 0.711
La 0.237 0.237 0.709
La 0.255 0.779 0.289
La 0.256 0.256 0.289
La 0.744 0.744 0.711
La 0.745 0.221 0.711
La 0.763 0.763 0.291
La 0.779 0.255 0.289
Ge 0.500 0.500 0.500
Rh 0.000 0.000 0.500
Rh 0.000 0.500 0.500
Rh 0.500 0.000 0.500
Br 0.000 0.500 0.000
Br 0.500 0.000 0.000
Br 0.500 0.500 0.000
```

Summary:
Size of the total moment: 0.00 μB per formula unit
Formation energy (no corrections): -0.996 eV/atom
Total DFT energy (no corrections): -86.0 eV for the cell shown

Crystalline Sm2YAu3 at its relaxed geometry, computed with PBE-GGA. Values from VASP.

Cell and atoms, written as Quantum ESPRESSO input:
```
&SYSTEM
  ibrav = 0, nat = 6, ntyp = 3
/
ATOMIC_SPECIES
Sm 150.36 Sm.upf
Y 88.91 Y.upf
Au 196.97 Au.upf
CELL_PARAMETERS angstrom
3.631 0.000 0.000
0.000 3.631 0.000
0.000 0.000 11.067
ATOMIC_POSITIONS crystal
Sm 0.000 0.000 0.169
Sm 0.000 0.000 0.831
Y 0.000 0.000 0.500
Au 0.500 0.500 0.000
Au 0.500 0.500 0.340
Au 0.500 0.500 0.660
```

Summary:
Size of the total moment: 0.00 μB per formula unit
Energy relative to the lowest polymorph listed for this composition: 0 meV/atom
Total DFT energy (no corrections): -30.7 eV for the cell shown
Energy of formation: -0.82 eV/atom

Crystalline SbPIr2 at its relaxed geometry, computed with PBE-GGA. Values from VASP.

Cell and atoms, written as Quantum ESPRESSO input:
```
&SYSTEM
  ibrav = 0, nat = 4, ntyp = 3
/
ATOMIC_SPECIES
Sb 121.76 Sb.upf
P 30.97 P.upf
Ir 192.22 Ir.upf
CELL_PARAMETERS angstrom
2.978 0.000 0.000
0.000 2.978 0.000
0.000 0.000 7.340
ATOMIC_POSITIONS crystal
Sb 0.000 0.000 0.000
P 0.000 0.000 0.500
Ir 0.500 0.500 0.309
Ir 0.500 0.500 0.691
```

Summary:
Size of the total moment: 0.00 μB per formula unit
Energy relative to the lowest polymorph listed for this composition: 427 meV/atom
Formation energy (no corrections): 0.153 eV/atom
Total DFT energy (no corrections): -26.6 eV for the cell shown

Looking at calculated volume for the records above, in order, we have 1041.4, 473.3, 145.9, 65.1 Å³/cell.